# 1
The following is a DFT calculation (PBE) of a geometry-optimized KAcAuO4 structure.

Results
The calculation puts the uncorrected formation energy at -1.38 eV/atom.

a b c (Å): 6.071 5.242 9.045
angles (deg): 90.00 99.87 90.00
Each line ends with the local moment (μB).
Fractional positions:
Ac 0.270 0.250 0.544  0.04
Au 0.195 0.750 0.250  0.12
O 0.003 0.501 0.677  0.15
O 0.997 0.001 0.323  0.15
O 0.531 0.250 0.829  0.04
O 0.584 0.250 0.430  0.22
K 0.658 0.250 0.138  0.00
O 0.469 0.750 0.171  0.04
Au 0.805 0.250 0.750  0.12
O 0.997 0.499 0.323  0.15
K 0.342 0.750 0.862  0.00
O 0.003 0.999 0.677  0.15
Ac 0.730 0.750 0.456  0.04
O 0.416 0.750 0.570  0.22

=====

# 2
The following is a DFT calculation (PBE) of a geometry-optimized KAcAuO3 structure.

Results
The calculation puts the uncorrected formation energy at -1.59 eV/atom.

a b c (Å): 3.909 7.604 8.350
angles (deg): 77.95 90.00 90.00
Each line ends with the local moment (μB).
Fractional positions:
Au 0.250 0.235 0.561  0.29
Au 0.750 0.765 0.439  0.29
Ac 0.750 0.445 0.818  0.00
O 0.250 0.212 0.839  0.35
O 0.250 0.623 0.888  0.04
O 0.750 0.294 0.539  0.18
O 0.250 0.706 0.461  0.18
K 0.250 0.074 0.172  0.00
Ac 0.250 0.555 0.182  0.00
O 0.750 0.788 0.161  0.35
K 0.750 0.926 0.828  0.00
O 0.750 0.377 0.112  0.04

=====

# 3
The following is a DFT calculation (PBE) of a geometry-optimized KAcPbAu structure.

Results
For the energy of formation from the pure elements, the calculation gives -0.34 eV per atom.

a b c (Å): 5.683 5.683 5.683
angles (deg): 60.00 60.00 60.00
Fractional positions:
Au 0.000 0.000 0.000
Pb 0.500 0.500 0.500
K 0.250 0.250 0.250
Ac 0.750 0.750 0.750

=====

# 4
The following is a DFT calculation (PBE) of a geometry-optimized KAcAuS2 structure.

Results
The calculation puts the uncorrected formation energy at -1.14 eV/atom.

a b c (Å): 5.131 7.407 8.582
angles (deg): 100.12 90.00 90.00
Fractional positions:
Au 0.000 0.000 0.000
K 0.124 0.500 0.750
S 0.680 0.748 0.966
K 0.876 0.500 0.250
S 0.320 0.748 0.466
Ac 0.512 0.000 0.750
S 0.320 0.252 0.034
Ac 0.488 0.000 0.250
S 0.680 0.252 0.534
Au 0.000 0.000 0.500

=====

Number 1: DOS(E_F) 4.13 states/eV/f.u., V 20.256 A^3/atom. Number 2: DOS(E_F) 1.01 states/eV/f.u., V 20.227 A^3/atom. Number 3: DOS(E_F) 3.86 states/eV/f.u., V 32.440 A^3/atom. Number 4: DOS(E_F) 2.51 states/eV/f.u., V 32.104 A^3/atom.